Computed, not measured: a geometry-optimized SrNdNiO4 structure at the GGA+U level of DFT.

Cell lengths 6.7839, 6.7839, 6.7839 Å; angles 147.23, 147.23, 47.02 degrees
Last column: nearest neighbours and their distance in Å.
Atoms (fractional coordinates):
Sr 0.6418 0.6418 0.0000  5 O 2.43-2.68
O 0.4914 0.9914 0.5000  2 Ni 1.92
O 0.1729 0.1729 0.0000  1 Ni 2.11, 1 Nd 2.35
O 0.8371 0.8371 0.0000  1 Ni 2.07
Nd 0.3618 0.3618 0.0000  5 O 2.35-2.50
Ni 0.0035 0.0035 0.0000  6 O 1.92-2.11
O 0.9914 0.4914 0.5000  2 Ni 1.92

Total magnetic moment   1.0 μB/cell
Energy above the most stable polymorph in this dataset   0 meV/atom
Total energy   -44.96 eV/f.u.